Entry from Alexandria: crystalline LiMoW at its relaxed geometry (PBE).

Properties
**Total moment**: 0.00 μB per formula unit
**DFT total energy**: -22.0 eV for the cell shown
**ΔH_f (0 K)**: 3.72 eV per formula unit
**Theoretical density**: 8.79 g cm⁻³

Cell: 4.2475 4.2475 4.2475 Å, 60.00 60.00 60.00°
Closest atoms and distances in Å follow each position.
Sites, in units of the cell vectors:
Li1 0.0000 0.0000 0.0000  4 Mo 2.60
Mo1 0.7500 0.7500 0.7500  4 Li 2.60, 4 W 2.60
W1 0.5000 0.5000 0.5000  4 Mo 2.60

Entry from Alexandria: crystalline Ba2LaAl at its relaxed geometry (PBE).

Properties
**Total moment**: 0.00 μB per formula unit
**DFT total energy**: -12.7 eV for the cell shown
**ΔH_f (0 K)**: -0.23 eV per formula unit
**Theoretical density**: 4.26 g cm⁻³

Cell: 4.0634 4.0634 10.4029 Å, 90.00 90.00 90.00°
Closest atoms and distances in Å follow each position.
Sites, in units of the cell vectors:
Ba1 0.0000 0.0000 0.0000  4 Al 3.59, 1 La 3.66
Ba2 0.5000 0.5000 0.3547  4 Ba 4.06, 4 La 4.19
La1 0.0000 0.0000 0.6479  4 Al 3.24
Al1 0.5000 0.5000 0.7926  4 La 3.24, 4 Ba 3.59

Entry from Alexandria: crystalline NdCu3As3 at its relaxed geometry (PBE).

Properties
**Total moment**: 0.00 μB per formula unit
**DFT total energy**: -64.3 eV for the cell shown
**ΔH_f (0 K)**: -1.15 eV per formula unit
**Theoretical density**: 6.46 g cm⁻³

Cell: 6.6026 6.6026 6.6026 Å, 90.00 90.00 90.00°
Closest atoms and distances in Å follow each position.
Sites, in units of the cell vectors:
Nd1 0.0000 0.0000 0.0000  12 As 3.69, 12 Cu 3.69
Nd2 0.5000 0.5000 0.5000  12 As 3.69, 12 Cu 3.69
Cu1 0.0000 0.2500 0.5000  4 As 2.33
Cu2 0.0000 0.7500 0.5000  4 As 2.33
Cu3 0.2500 0.5000 0.0000  4 As 2.33
Cu4 0.5000 0.0000 0.2500  4 As 2.33
Cu5 0.5000 0.0000 0.7500  4 As 2.33
Cu6 0.7500 0.5000 0.0000  4 As 2.33
As1 0.0000 0.5000 0.2500  4 Cu 2.33
As2 0.0000 0.5000 0.7500  4 Cu 2.33
As3 0.2500 0.0000 0.5000  4 Cu 2.33
As4 0.5000 0.2500 0.0000  4 Cu 2.33
As5 0.5000 0.7500 0.0000  4 Cu 2.33
As6 0.7500 0.0000 0.5000  4 Cu 2.33